# HgGe2IrW

Crystalline HgGe2IrW at its relaxed geometry (GGA-PBEsol, the Alexandria database).

CIF file:
```
data_HgGe2IrW
_cell_length_a 4.634
_cell_length_b 4.634
_cell_length_c 5.172
_cell_angle_alpha 90.00
_cell_angle_beta 90.00
_cell_angle_gamma 90.00
_space_group_name_H-M_alt 'P 1'
_space_group_IT_number 1
loop_
_space_group_symop_operation_xyz
'x,y,z'
loop_
_atom_site_label
_atom_site_type_symbol
_atom_site_fract_x
_atom_site_fract_y
_atom_site_fract_z
Hg1 Hg 0.000 0.000 0.000
Ge1 Ge 0.000 0.500 0.500
Ge2 Ge 0.500 0.000 0.500
Ir1 Ir 0.000 0.000 0.500
W1 W 0.500 0.500 0.000
```

Summary:
* volume: 111.0 Å³ per cell
* symmetry: P4/mmm
* formation energy: 1.32 eV/atom
* size of the total moment: 3.80 μB per cell



# TlSiSnAu2

Crystalline TlSiSnAu2 at its relaxed geometry (GGA-PBEsol, the Alexandria database).

CIF file:
```
data_TlSiSnAu2
_cell_length_a 5.129
_cell_length_b 5.129
_cell_length_c 5.111
_cell_angle_alpha 90.00
_cell_angle_beta 90.00
_cell_angle_gamma 90.00
_space_group_name_H-M_alt 'P 1'
_space_group_IT_number 1
loop_
_space_group_symop_operation_xyz
'x,y,z'
loop_
_atom_site_label
_atom_site_type_symbol
_atom_site_fract_x
_atom_site_fract_y
_atom_site_fract_z
Tl1 Tl 0.000 0.000 0.000
Si1 Si 0.000 0.000 0.500
Sn1 Sn 0.500 0.500 0.500
Au1 Au 0.000 0.500 0.000
Au2 Au 0.500 0.000 0.000
```

Summary:
* formation energy without anion corrections: 0.93 eV per atom
* volume: 134.4 Å³ per cell
* symmetry: P4/mmm
* size of the total moment: 0.00 μB per cell



# TiCdRh3

Crystalline TiCdRh3 at its relaxed geometry (GGA-PBEsol, the Alexandria database).

CIF file:
```
data_TiCdRh3
_cell_length_a 4.471
_cell_length_b 4.471
_cell_length_c 4.471
_cell_angle_alpha 90.00
_cell_angle_beta 90.00
_cell_angle_gamma 90.00
_space_group_name_H-M_alt 'P 1'
_space_group_IT_number 1
loop_
_space_group_symop_operation_xyz
'x,y,z'
loop_
_atom_site_label
_atom_site_type_symbol
_atom_site_fract_x
_atom_site_fract_y
_atom_site_fract_z
Ti1 Ti 0.000 0.000 0.000
Cd1 Cd 0.500 0.500 0.500
Rh1 Rh 0.000 0.000 0.500
Rh2 Rh 0.000 0.500 0.000
Rh3 Rh 0.500 0.000 0.000
```

Summary:
* volume: 89.4 Å³ per cell
* symmetry: Pm-3m
* formation energy: 0.50 eV/atom
* size of the total moment: 0.00 μB per cell



# Li2Mg

Crystalline Li2Mg at its relaxed geometry (GGA-PBEsol, the Alexandria database).

CIF file:
```
data_Li2Mg
_cell_length_a 3.084
_cell_length_b 3.084
_cell_length_c 15.080
_cell_angle_alpha 90.00
_cell_angle_beta 90.00
_cell_angle_gamma 120.00
_space_group_name_H-M_alt 'P 1'
_space_group_IT_number 1
loop_
_space_group_symop_operation_xyz
'x,y,z'
loop_
_atom_site_label
_atom_site_type_symbol
_atom_site_fract_x
_atom_site_fract_y
_atom_site_fract_z
Li1 Li 0.333 0.667 0.246
Li2 Li 0.333 0.667 0.917
Li3 Li 0.667 0.333 0.083
Li4 Li 0.667 0.333 0.754
Mg1 Mg 0.333 0.667 0.588
Mg2 Mg 0.667 0.333 0.412
```

Summary:
* volume: 124.2 Å³ per cell
* symmetry: P-3m1
* formation energy: -0.01 eV/atom
* size of the total moment: 0.00 μB per cell



# SrReS2Cl

Crystalline SrReS2Cl at its relaxed geometry (GGA-PBEsol, the Alexandria database).

CIF file:
```
data_SrReS2Cl
_cell_length_a 4.578
_cell_length_b 4.578
_cell_length_c 5.096
_cell_angle_alpha 90.00
_cell_angle_beta 90.00
_cell_angle_gamma 90.00
_space_group_name_H-M_alt 'P 1'
_space_group_IT_number 1
loop_
_space_group_symop_operation_xyz
'x,y,z'
loop_
_atom_site_label
_atom_site_type_symbol
_atom_site_fract_x
_atom_site_fract_y
_atom_site_fract_z
Sr1 Sr 0.000 0.000 0.000
Re1 Re 0.500 0.500 0.500
S1 S 0.000 0.500 0.500
S2 S 0.500 0.000 0.500
Cl1 Cl 0.500 0.500 0.000
```

Summary:
* formation energy without anion corrections: -0.75 eV per atom
* volume: 106.8 Å³ per cell
* symmetry: P4/mmm
* size of the total moment: 0.00 μB per cell



# La4Ag

Crystalline La4Ag at its relaxed geometry (GGA-PBEsol, the Alexandria database).

CIF file:
```
data_La4Ag
_cell_length_a 6.693
_cell_length_b 6.693
_cell_length_c 6.693
_cell_angle_alpha 94.50
_cell_angle_beta 94.50
_cell_angle_gamma 147.46
_space_group_name_H-M_alt 'P 1'
_space_group_IT_number 1
loop_
_space_group_symop_operation_xyz
'x,y,z'
loop_
_atom_site_label
_atom_site_type_symbol
_atom_site_fract_x
_atom_site_fract_y
_atom_site_fract_z
La1 La 0.081 0.274 0.356
La2 La 0.274 0.919 0.193
La3 La 0.726 0.081 0.807
La4 La 0.919 0.726 0.644
Ag1 Ag 0.500 0.500 0.000
```

Summary:
* ΔE to the lowest computed polymorph: 1.0 meV/atom
* volume: 154.8 Å³ per cell
* symmetry: I4/m
* formation energy: -0.08 eV/atom
* size of the total moment: 0.00 μB per cell



# MnFe2Co

Crystalline MnFe2Co at its relaxed geometry (GGA-PBEsol, the Alexandria database).

CIF file:
```
data_MnFe2Co
_cell_length_a 2.767
_cell_length_b 3.950
_cell_length_c 3.965
_cell_angle_alpha 90.00
_cell_angle_beta 90.00
_cell_angle_gamma 90.00
_space_group_name_H-M_alt 'P 1'
_space_group_IT_number 1
loop_
_space_group_symop_operation_xyz
'x,y,z'
loop_
_atom_site_label
_atom_site_type_symbol
_atom_site_fract_x
_atom_site_fract_y
_atom_site_fract_z
Mn1 Mn 0.000 0.000 0.000
Fe1 Fe 0.000 0.500 0.500
Fe2 Fe 0.500 0.000 0.500
Co1 Co 0.500 0.500 0.000
```

Summary:
* volume: 43.3 Å³ per cell
* symmetry: Pmmm
* formation energy: 0.08 eV/atom
* size of the total moment: 7.92 μB per cell



# ZrMnIn2

Crystalline ZrMnIn2 at its relaxed geometry (GGA-PBEsol, the Alexandria database).

CIF file:
```
data_ZrMnIn2
_cell_length_a 5.273
_cell_length_b 5.273
_cell_length_c 3.023
_cell_angle_alpha 90.00
_cell_angle_beta 90.00
_cell_angle_gamma 110.11
_space_group_name_H-M_alt 'P 1'
_space_group_IT_number 1
loop_
_space_group_symop_operation_xyz
'x,y,z'
loop_
_atom_site_label
_atom_site_type_symbol
_atom_site_fract_x
_atom_site_fract_y
_atom_site_fract_z
Zr1 Zr 0.000 0.000 0.000
Mn1 Mn 0.500 0.500 0.000
In1 In 0.000 0.500 0.500
In2 In 0.500 0.000 0.500
```

Summary:
* volume: 78.9 Å³ per cell
* symmetry: Cmmm
* formation energy: 0.02 eV/atom
* size of the total moment: 3.76 μB per cell